Entry 1:
A relaxed CsLiCeI5 crystal, computed with PBE.

Raw total energy, eV/atom: -3.42

abc: 10.548 14.096 11.888
angles: 90.00 113.50 90.00
Space group C2/c (No. 15)
Inequivalent atoms, fractional coordinates:
Cs 0.000 0.151 0.250 [4 per cell]
Li 0.000 0.193 0.750 [4 per cell]
Ce 0.000 0.500 0.000 [4 per cell]
I 0.000 0.425 0.250 [4 per cell]
I 0.106 0.296 0.606 [8 per cell]
I 0.195 0.072 0.926 [8 per cell]

---

Entry 2:
A relaxed CsCeMgI6 crystal, computed with PBE.

Raw total energy, eV/atom: -3.25

abc: 7.9402 7.9402 17.2409
angles: 90.00 90.00 120.00
Space group P-31c (No. 163)
Inequivalent atoms, fractional coordinates:
Cs 0.0000 0.0000 0.0000 [2 per cell]
Ce 0.3333 0.6667 0.2500 [2 per cell]
Mg 0.3333 0.6667 0.7500 [2 per cell]
I 0.0184 0.3813 0.6481 [12 per cell]

---

Entry 3:
A relaxed CsCeMg2I8 crystal, computed with PBE.

Raw total energy, eV/atom: -3.03

abc: 7.666 7.770 10.806
angles: 74.04 75.75 73.56
Space group P-1 (No. 2)
Inequivalent atoms, fractional coordinates:
Cs 0.000 0.000 0.000 [1 per cell]
Ce 0.000 0.000 0.500 [1 per cell]
Mg 0.456 0.449 0.211 [2 per cell]
I 0.183 0.705 0.731 [2 per cell]
I 0.270 0.789 0.289 [2 per cell]
I 0.277 0.246 0.455 [2 per cell]
I 0.371 0.303 0.032 [2 per cell]

---

Entry 4:
A relaxed Cs2CeMgI6 crystal, computed with PBE.

Raw total energy, eV/atom: -3.11

abc: 8.7739 8.7739 41.9018
angles: 90.00 90.00 120.00
Space group R-3m (No. 166, hexagonal axes)
Inequivalent atoms, fractional coordinates:
Cs 0.0000 0.0000 0.1253 [6 per cell]
Cs 0.0000 0.0000 0.2909 [6 per cell]
Ce 0.0000 0.0000 0.4201 [6 per cell]
Mg 0.0000 0.0000 0.0000 [3 per cell]
Mg 0.0000 0.0000 0.5000 [3 per cell]
I 0.0110 0.5055 0.7068 [18 per cell]
I 0.0207 0.5103 0.8749 [18 per cell]

---

Entry 5:
A relaxed CsNa2CeI6 crystal, computed with PBE.

Raw total energy, eV/atom: -3.22

abc: 8.3817 8.3817 23.0244
angles: 90.00 90.00 120.00
Space group R3 (No. 146, hexagonal axes)
Inequivalent atoms, fractional coordinates:
Cs 0.0000 0.0000 0.0000 [3 per cell]
Na 0.0000 0.0000 0.2012 [3 per cell]
Na 0.0000 0.0000 0.7188 [3 per cell]
Ce 0.0000 0.0000 0.5291 [3 per cell]
I 0.9998 0.3259 0.4583 [9 per cell]
I 0.1010 0.7557 0.2848 [9 per cell]

---

Entry 6:
A relaxed CsNaCeI5 crystal, computed with PBE.

Raw total energy, eV/atom: -3.35

abc: 10.537 14.661 12.125
angles: 90.00 112.31 90.00
Space group C2/c (No. 15)
Inequivalent atoms, fractional coordinates:
Cs 0.000 0.160 0.250 [4 per cell]
Na 0.000 0.192 0.750 [4 per cell]
Ce 0.000 0.500 0.000 [4 per cell]
I 0.000 0.434 0.250 [4 per cell]
I 0.103 0.301 0.586 [8 per cell]
I 0.194 0.058 0.935 [8 per cell]

---

Which formula does entry 6 have?
CsNaCeI5